The following is a DFT calculation (PBE-GGA) of crystalline LiCoCuRu2 at its relaxed geometry.

abc: 4.551 4.356 4.551
angles: 90.00 90.00 90.00
Each line ends with the local moment (μB).
Sites, in units of the cell vectors:
Ru 0.000 0.000 0.500  1.97
Ru 0.500 0.000 0.000  1.37
Co 0.000 0.500 0.000  1.98
Cu 0.000 0.000 0.000  0.26
Li 0.500 0.500 0.500  -0.03

Properties
- ΔE_f (eV/f.u.) = 7.1
- total moment (μB per cell) = 5.536
- symmetry = P4/mmm
- energy (eV per atom) = -4.9178